1.
Material: YNiTe
Method: DFT, PBE
State: relaxed

Properties
The calculation puts the density of states at the Fermi level at 1.4 states/eV/cell. The calculation puts the total energy at -5.9867 eV/atom. For the magnetic moment, the calculation gives 0.0 Bohr magnetons per cell. As for the uncorrected formation energy: -0.86 eV/atom. Its symmetry is P3m1.

Cell lengths 4.2526, 4.2526, 4.0666 Å; angles 90.00, 90.00, 120.00 degrees
Sites, in units of the cell vectors:
Y 0.6667 0.3333 0.6742
Te 0.3333 0.6667 0.1766
Ni 0.0000 0.0000 0.1492

---

2.
Material: PrMnSe3
Method: DFT, PBE
State: relaxed

Properties
The calculation puts the density of states at the Fermi level at 3.9 states/eV/cell. The calculation puts the total energy at -5.9870 eV/atom. For the magnetic moment, the calculation gives 16.0 Bohr magnetons per cell. As for the uncorrected formation energy: -1.11 eV/atom. Its symmetry is Pnma. The energy above the most stable polymorph in this dataset comes out at 0.022 eV/atom.

Cell lengths 4.0066, 9.7777, 12.2646 Å; angles 90.00, 90.00, 90.00 degrees
Last column: magnetic moment on the atom in μB.
Sites, in units of the cell vectors:
Se 0.7500 0.7052 0.2929  -0.09
Pr 0.2500 0.4846 0.3168  0.06
Se 0.7500 0.1625 0.9645  0.00
Mn 0.2500 0.3254 0.0293  3.84
Se 0.7500 0.4804 0.1155  -0.08
Se 0.2500 0.8375 0.0355  0.00
Se 0.2500 0.6625 0.5355  0.00
Se 0.2500 0.9804 0.3845  -0.08
Pr 0.7500 0.5154 0.6832  0.06
Se 0.2500 0.2052 0.2071  -0.09
Pr 0.2500 0.0154 0.8168  0.06
Se 0.7500 0.7948 0.7929  -0.09
Mn 0.7500 0.6746 0.9707  3.84
Se 0.7500 0.0196 0.6155  -0.08
Mn 0.7500 0.8254 0.4707  3.84
Se 0.2500 0.2948 0.7071  -0.09
Se 0.7500 0.3375 0.4645  0.00
Mn 0.2500 0.1746 0.5293  3.84
Pr 0.7500 0.9846 0.1832  0.06
Se 0.2500 0.5196 0.8845  -0.08

---

3.
Material: SrY2AlRh
Method: DFT, PBE
State: relaxed

Properties
The calculation puts the density of states at the Fermi level at 3.1 states/eV/cell. The value obtained for the energy of formation from the pure elements is -0.334 eV/atom. The calculation puts the total energy at -5.4749 eV/atom. For the magnetic moment, the calculation gives 0.0 Bohr magnetons per cell. Its symmetry is P4/mmm.

Cell lengths 5.4010, 5.4010, 5.0106 Å; angles 90.00, 90.00, 90.00 degrees
Sites, in units of the cell vectors:
Y 0.5000 0.0000 0.0000
Y 0.0000 0.5000 0.0000
Sr 0.5000 0.5000 0.5000
Rh 0.0000 0.0000 0.0000
Al 0.0000 0.0000 0.5000

---

4.
Material: Th3CoPb
Method: DFT, PBE
State: relaxed

Properties
The calculation puts the density of states at the Fermi level at 10.1 states/eV/cell. The value obtained for the energy of formation from the pure elements is -0.239 eV/atom. The calculation puts the total energy at -6.8536 eV/atom. For the magnetic moment, the calculation gives 0.0 Bohr magnetons per cell. Its symmetry is P2_1/m. The energy above the most stable polymorph in this dataset comes out at 0.000 eV/atom.

Cell lengths 4.4856, 8.2627, 8.5665 Å; angles 117.79, 90.00, 90.00 degrees
Sites, in units of the cell vectors:
Th 0.7500 0.0389 0.2211
Th 0.2500 0.6752 0.0833
Co 0.7500 0.0725 0.6033
Th 0.2500 0.2997 0.5858
Pb 0.2500 0.3364 0.2116
Pb 0.7500 0.6636 0.7884
Co 0.2500 0.9275 0.3967
Th 0.7500 0.3248 0.9167
Th 0.7500 0.7003 0.4142
Th 0.2500 0.9611 0.7789

---

5.
Material: Pa2Tl2Se7
Method: DFT, PBE
State: relaxed

Properties
The calculation puts the density of states at the Fermi level at 5.1 states/eV/cell. The calculation puts the total energy at -5.2823 eV/atom. For the magnetic moment, the calculation gives 0.0 Bohr magnetons per cell. As for the uncorrected formation energy: -0.91 eV/atom. Its symmetry is Cmmm.

Cell lengths 6.6538, 7.7535, 6.6538 Å; angles 90.00, 98.20, 90.00 degrees
Sites, in units of the cell vectors:
Se 0.5002 0.7735 0.4998
Pa 0.7243 0.0000 0.2757
Se 0.9998 0.2325 0.5003
Tl 0.2148 0.5000 0.2148
Se 0.4997 0.2325 0.0002
Se 0.5003 0.7675 0.9998
Se 0.4998 0.2265 0.5002
Se 0.0000 0.0000 0.0000
Se 0.0002 0.7675 0.4997
Tl 0.7852 0.5000 0.7852
Pa 0.2757 0.0000 0.7243

---

6.
Material: Sr2CdGeRh
Method: DFT, PBE
State: relaxed

Properties
The calculation puts the density of states at the Fermi level at 2.3 states/eV/cell. The value obtained for the energy of formation from the pure elements is -0.359 eV/atom. The calculation puts the total energy at -3.6088 eV/atom. For the magnetic moment, the calculation gives 0.0 Bohr magnetons per cell. Its symmetry is P4/mmm.

Cell lengths 5.8278, 5.8278, 4.7180 Å; angles 90.00, 90.00, 90.00 degrees
Sites, in units of the cell vectors:
Cd 0.5000 0.5000 0.5000
Sr 0.0000 0.5000 0.0000
Ge 0.0000 0.0000 0.5000
Sr 0.5000 0.0000 0.0000
Rh 0.0000 0.0000 0.0000

---

Q: Among the records above, which one has the highest magnetic moment?
A: PrMnSe3